Compound: Bi2WF
Source: Alexandria
Functional: PBE with a Hubbard U
Structure: optimized geometry

a b c (Å): 7.0921 7.0921 7.0921
angles (deg): 90.00 90.00 90.00
Last column: nearest neighbours and their distance in Å.
Sites, in units of the cell vectors:
Bi 0.2500 0.2500 0.2500  4 F 3.07, 4 W 3.07
Bi 0.2500 0.2500 0.7500  4 F 3.07, 4 W 3.07
Bi 0.2500 0.7500 0.2500  4 F 3.07, 4 W 3.07
Bi 0.2500 0.7500 0.7500  4 F 3.07, 4 W 3.07
Bi 0.7500 0.2500 0.2500  4 F 3.07, 4 W 3.07
Bi 0.7500 0.2500 0.7500  4 F 3.07, 4 W 3.07
Bi 0.7500 0.7500 0.2500  4 F 3.07, 4 W 3.07
Bi 0.7500 0.7500 0.7500  4 W 3.07, 4 F 3.07
W 0.0000 0.0000 0.0000  8 Bi 3.07
W 0.0000 0.5000 0.5000  8 Bi 3.07
W 0.5000 0.0000 0.5000  8 Bi 3.07
W 0.5000 0.5000 0.0000  8 Bi 3.07
F 0.0000 0.0000 0.5000  8 Bi 3.07
F 0.0000 0.5000 0.0000  8 Bi 3.07
F 0.5000 0.0000 0.0000  8 Bi 3.07
F 0.5000 0.5000 0.5000  8 Bi 3.07

Calculated values
Final energy: -4.21 eV/atom
DOS at the Fermi energy: 8.60 states/eV/cell
Total magnetic moment: 0.863 μB/atom
SG: Fm-3m